A geometry-optimized CoMo3O structure. Source: the Alexandria database, functional PBE with a Hubbard U.

a = 4.143 Å, b = 4.143 Å, c = 4.143 Å
α = 90.00°, β = 90.00°, γ = 90.00°
Element x y z (fractional)
Co1 0.000 0.000 0.000
Mo1 0.000 0.500 0.500
Mo2 0.500 0.000 0.500
Mo3 0.500 0.500 0.000
O1 0.500 0.500 0.500

Values from the calculation:
DOS(E_F) = 4.25 states/eV/cell
Energy relative to the lowest polymorph listed for this composition = 0.0 meV per atom
Size of the total moment = 3.364 Bohr magnetons per cell